1.
Here is Ca2Au after structural relaxation from the Alexandria database. Energies are from GGA-PBEsol.

Results
The energy relative to the elements comes out at -1.6 eV/f.u. As for the space-group type: No. 227. The volume is 664 Å³ per cell.

Lattice parameters (Å, degrees): 9.793 9.793 9.793 60.00 60.00 60.00
Element x y z (fractional)
Ca1 0.000 0.000 0.000
Ca2 0.000 0.000 0.500
Ca3 0.000 0.500 0.000
Ca4 0.182 0.182 0.568
Ca5 0.182 0.568 0.182
Ca6 0.182 0.568 0.568
Ca7 0.432 0.432 0.818
Ca8 0.432 0.818 0.432
Ca9 0.432 0.818 0.818
Ca10 0.500 0.000 0.000
Ca11 0.568 0.182 0.182
Ca12 0.568 0.182 0.568
Ca13 0.568 0.568 0.182
Ca14 0.818 0.432 0.432
Ca15 0.818 0.432 0.818
Ca16 0.818 0.818 0.432
Au1 0.171 0.776 0.776
Au2 0.224 0.224 0.224
Au3 0.224 0.224 0.829
Au4 0.224 0.829 0.224
Au5 0.776 0.171 0.776
Au6 0.776 0.776 0.171
Au7 0.776 0.776 0.776
Au8 0.829 0.224 0.224

***

2.
Here is Ca3Au after structural relaxation from the Alexandria database. Energies are from GGA-PBEsol.

Results
The energy relative to the elements comes out at -1.5 eV/f.u. As for the space-group type: No. 44. The volume is 262 Å³ per cell.

Lattice parameters (Å, degrees): 3.866 10.368 6.527 90.00 90.00 90.00
Element x y z (fractional)
Ca1 0.000 0.000 0.000
Ca2 0.000 0.187 0.516
Ca3 0.000 0.813 0.516
Ca4 0.500 0.313 0.016
Ca5 0.500 0.500 0.500
Ca6 0.500 0.687 0.016
Au1 0.000 0.500 0.833
Au2 0.500 0.000 0.333

***

3.
Here is CaAu4 after structural relaxation from the Alexandria database. Energies are from GGA-PBEsol.

Results
The energy relative to the elements comes out at -2.0 eV/f.u. As for the space-group type: No. 139. The volume is 205 Å³ per cell.

Lattice parameters (Å, degrees): 3.937 3.937 13.202 90.00 90.00 90.00
Element x y z (fractional)
Ca1 0.000 0.000 0.000
Ca2 0.500 0.500 0.500
Au1 0.000 0.000 0.400
Au2 0.000 0.000 0.600
Au3 0.000 0.500 0.250
Au4 0.000 0.500 0.750
Au5 0.500 0.000 0.250
Au6 0.500 0.000 0.750
Au7 0.500 0.500 0.100
Au8 0.500 0.500 0.900

***

4.
Here is Ca2Au after structural relaxation from the Alexandria database. Energies are from GGA-PBEsol.

Results
The energy relative to the elements comes out at -1.5 eV/f.u. As for the space-group type: No. 58. The volume is 198 Å³ per cell.

Lattice parameters (Å, degrees): 6.709 7.014 4.199 90.00 90.00 90.00
Element x y z (fractional)
Ca1 0.247 0.163 0.000
Ca2 0.253 0.663 0.500
Ca3 0.747 0.337 0.500
Ca4 0.753 0.837 0.000
Au1 0.000 0.000 0.500
Au2 0.500 0.500 0.000

***

5.
Here is CaCd2Au after structural relaxation from the Alexandria database. Energies are from GGA-PBEsol.

Results
The energy relative to the elements comes out at -1.5 eV/f.u. As for the space-group type: No. 6. The volume is 91 Å³ per cell.

Lattice parameters (Å, degrees): 3.623 4.184 6.291 90.00 106.47 90.00
Element x y z (fractional)
Ca1 0.000 0.000 0.000
Cd1 0.263 0.000 0.525
Cd2 0.662 0.500 0.324
Au1 0.415 0.500 0.828

***

6.
Here is Ca2CdAu after structural relaxation from the Alexandria database. Energies are from GGA-PBEsol.

Results
The energy relative to the elements comes out at -2.2 eV/f.u. As for the space-group type: No. 123. The volume is 98 Å³ per cell.

Lattice parameters (Å, degrees): 3.591 3.591 7.614 90.00 90.00 90.00
Element x y z (fractional)
Ca1 0.000 0.000 0.230
Ca2 0.000 0.000 0.770
Cd1 0.500 0.500 0.500
Au1 0.500 0.500 0.000

***

7.
Here is CaCdAu2 after structural relaxation from the Alexandria database. Energies are from GGA-PBEsol.

Results
The energy relative to the elements comes out at -1.9 eV/f.u. As for the space-group type: No. 119. The volume is 159 Å³ per cell.

Lattice parameters (Å, degrees): 4.303 4.303 8.584 90.00 90.00 90.00
Element x y z (fractional)
Ca1 0.000 0.000 0.000
Ca2 0.500 0.500 0.500
Cd1 0.000 0.500 0.750
Cd2 0.500 0.000 0.250
Au1 0.000 0.000 0.500
Au2 0.000 0.500 0.250
Au3 0.500 0.000 0.750
Au4 0.500 0.500 0.000

***

8.
Here is CaCdAu2 after structural relaxation from the Alexandria database. Energies are from GGA-PBEsol.

Results
The energy relative to the elements comes out at -2.0 eV/f.u. As for the space-group type: No. 123. The volume is 82 Å³ per cell.

Lattice parameters (Å, degrees): 3.521 3.521 6.592 90.00 90.00 90.00
Element x y z (fractional)
Ca1 0.000 0.000 0.000
Cd1 0.000 0.000 0.500
Au1 0.500 0.500 0.272
Au2 0.500 0.500 0.728

***

9.
Here is Ca4CdAu after structural relaxation from the Alexandria database. Energies are from GGA-PBEsol.

Results
The energy relative to the elements comes out at 2.0 eV/f.u. As for the space-group type: No. 216. The volume is 179 Å³ per cell.

Lattice parameters (Å, degrees): 6.325 6.325 6.325 60.00 60.00 60.00
Element x y z (fractional)
Ca1 0.125 0.125 0.125
Ca2 0.125 0.125 0.624
Ca3 0.125 0.624 0.125
Ca4 0.624 0.125 0.125
Cd1 0.750 0.750 0.750
Au1 0.500 0.500 0.500

***

10.
Here is Ca2CdAu after structural relaxation from the Alexandria database. Energies are from GGA-PBEsol.

Results
The energy relative to the elements comes out at -2.1 eV/f.u. As for the space-group type: No. 25. The volume is 97 Å³ per cell.

Lattice parameters (Å, degrees): 3.731 5.109 5.107 90.00 90.00 90.00
Element x y z (fractional)
Ca1 0.000 0.000 0.000
Ca2 0.000 0.500 0.499
Cd1 0.500 0.500 0.999
Au1 0.500 0.000 0.500

***

11.
Here is CaCd2Au after structural relaxation from the Alexandria database. Energies are from GGA-PBEsol.

Results
The energy relative to the elements comes out at -1.4 eV/f.u. As for the space-group type: No. 139. The volume is 167 Å³ per cell.

Lattice parameters (Å, degrees): 4.570 4.570 7.995 90.00 90.00 90.00
Element x y z (fractional)
Ca1 0.000 0.000 0.000
Ca2 0.500 0.500 0.500
Cd1 0.000 0.500 0.250
Cd2 0.000 0.500 0.750
Cd3 0.500 0.000 0.250
Cd4 0.500 0.000 0.750
Au1 0.000 0.000 0.500
Au2 0.500 0.500 0.000

***

12.
Here is CaCdAu2 after structural relaxation from the Alexandria database. Energies are from GGA-PBEsol.

Results
The energy relative to the elements comes out at -2.0 eV/f.u. As for the space-group type: No. 38. The volume is 172 Å³ per cell.

Lattice parameters (Å, degrees): 4.347 3.722 10.657 90.00 90.00 90.00
Element x y z (fractional)
Ca1 0.000 0.000 0.000
Ca2 0.000 0.500 0.500
Cd1 0.500 0.000 0.698
Cd2 0.500 0.500 0.198
Au1 0.000 0.000 0.269
Au2 0.000 0.500 0.769
Au3 0.500 0.000 0.429
Au4 0.500 0.500 0.929

***

13.
Here is CaCd2Au after structural relaxation from the Alexandria database. Energies are from GGA-PBEsol.

Results
The energy relative to the elements comes out at -1.6 eV/f.u. As for the space-group type: No. 119. The volume is 170 Å³ per cell.

Lattice parameters (Å, degrees): 4.959 4.959 6.895 90.00 90.00 90.00
Element x y z (fractional)
Ca1 0.000 0.000 0.000
Ca2 0.500 0.500 0.500
Cd1 0.000 0.000 0.500
Cd2 0.000 0.500 0.250
Cd3 0.500 0.000 0.750
Cd4 0.500 0.500 0.000
Au1 0.000 0.500 0.750
Au2 0.500 0.000 0.250

***

14.
Here is CaCd2Au4 after structural relaxation from the Alexandria database. Energies are from GGA-PBEsol.

Results
The energy relative to the elements comes out at -3.1 eV/f.u. As for the space-group type: No. 139. The volume is 276 Å³ per cell.

Lattice parameters (Å, degrees): 7.092 7.092 5.480 90.00 90.00 90.00
Element x y z (fractional)
Ca1 0.000 0.000 0.000
Ca2 0.500 0.500 0.500
Cd1 0.000 0.500 0.250
Cd2 0.000 0.500 0.750
Cd3 0.500 0.000 0.250
Cd4 0.500 0.000 0.750
Au1 0.196 0.196 0.500
Au2 0.196 0.804 0.500
Au3 0.304 0.304 0.000
Au4 0.304 0.696 0.000
Au5 0.696 0.304 0.000
Au6 0.696 0.696 0.000
Au7 0.804 0.196 0.500
Au8 0.804 0.804 0.500

***

15.
Here is Ca2AuCl after structural relaxation from the Alexandria database. Energies are from GGA-PBEsol.

Results
As for the space-group type: No. 123. The volume is 95 Å³ per cell. As for the formation energy from raw total energies: -1.137 eV per atom.

Lattice parameters (Å, degrees): 3.510 3.510 7.708 90.00 90.00 90.00
Element x y z (fractional)
Ca1 0.000 0.000 0.227
Ca2 0.000 0.000 0.773
Au1 0.500 0.500 0.000
Cl1 0.500 0.500 0.500

***

16.
Here is CaAu2Cl after structural relaxation from the Alexandria database. Energies are from GGA-PBEsol.

Results
As for the space-group type: No. 99. The volume is 92 Å³ per cell. As for the formation energy from raw total energies: -0.849 eV per atom.

Lattice parameters (Å, degrees): 3.733 3.733 6.620 90.00 90.00 90.00
Element x y z (fractional)
Ca1 0.000 0.000 0.000
Au1 0.000 0.000 0.590
Au2 0.500 0.500 0.646
Cl1 0.500 0.500 0.149

***

17.
Here is Ca2AuCl after structural relaxation from the Alexandria database. Energies are from GGA-PBEsol.

Results
As for the space-group type: No. 225. The volume is 387 Å³ per cell. As for the formation energy from raw total energies: -0.959 eV per atom.

Lattice parameters (Å, degrees): 7.288 7.288 7.288 90.00 90.00 90.00
Element x y z (fractional)
Ca1 0.250 0.250 0.250
Ca2 0.250 0.250 0.750
Ca3 0.250 0.750 0.250
Ca4 0.250 0.750 0.750
Ca5 0.750 0.250 0.250
Ca6 0.750 0.250 0.750
Ca7 0.750 0.750 0.250
Ca8 0.750 0.750 0.750
Au1 0.000 0.000 0.000
Au2 0.000 0.500 0.500
Au3 0.500 0.000 0.500
Au4 0.500 0.500 0.000
Cl1 0.000 0.000 0.500
Cl2 0.000 0.500 0.000
Cl3 0.500 0.000 0.000
Cl4 0.500 0.500 0.500

***

18.
Here is CaPb2AuCl after structural relaxation from the Alexandria database. Energies are from GGA-PBEsol.

Results
As for the space-group type: No. 123. The volume is 183 Å³ per cell. As for the formation energy from raw total energies: 0.491 eV per atom.

Lattice parameters (Å, degrees): 5.967 5.967 5.149 90.00 90.00 90.00
Element x y z (fractional)
Ca1 0.000 0.000 0.000
Pb1 0.000 0.500 0.000
Pb2 0.500 0.000 0.000
Au1 0.000 0.000 0.500
Cl1 0.500 0.500 0.500

***

19.
Here is Ca2CoAu after structural relaxation from the Alexandria database. Energies are from GGA-PBEsol.

Results
The energy relative to the elements comes out at 0.2 eV/f.u. As for the space-group type: No. 119. The volume is 163 Å³ per cell.

Lattice parameters (Å, degrees): 4.157 4.157 9.453 90.00 90.00 90.00
Element x y z (fractional)
Ca1 0.000 0.000 0.000
Ca2 0.000 0.500 0.250
Ca3 0.500 0.000 0.750
Ca4 0.500 0.500 0.500
Co1 0.000 0.500 0.750
Co2 0.500 0.000 0.250
Au1 0.000 0.000 0.500
Au2 0.500 0.500 0.000

***

20.
Here is CaCo3Au after structural relaxation from the Alexandria database. Energies are from GGA-PBEsol.

Results
The energy relative to the elements comes out at 9.3 eV/f.u. As for the space-group type: No. 221. The volume is 80 Å³ per cell.

Lattice parameters (Å, degrees): 4.305 4.305 4.305 90.00 90.00 90.00
Element x y z (fractional)
Ca1 0.000 0.000 0.000
Co1 0.000 0.000 0.500
Co2 0.000 0.500 0.000
Co3 0.500 0.000 0.000
Au1 0.500 0.500 0.500

***

Calculated D(E_F), 17.60 7.64 4.02 3.02 1.75 3.09 2.81 1.38 5.78 2.76 3.03 2.37 3.55 3.72 1.91 0.91 12.89 4.76 9.77 8.23 states/eV per cell (same order as the records).